# MnInAu2O6 (PBE with a Hubbard U, optimized geometry)
# calculated total energy	-51.4	eV per formula unit
# volume	590	Å³/cell
# magnetic moment	7.89	Bohr magnetons per cell
data_MnInAu2O6
_chemical_formula_sum 'Mn4 In4 Au8 O24'
_cell_length_a 9.400
_cell_length_b 9.892
_cell_length_c 6.535
_cell_angle_alpha 90.00
_cell_angle_beta 103.67
_cell_angle_gamma 90.00
_symmetry_space_group_name_H-M 'C 1 2/c 1'
_symmetry_Int_Tables_number 15
_symmetry_space_group_name_Hall '-C 2yc'
loop_
_atom_site_label
_atom_site_type_symbol
_atom_site_fract_x
_atom_site_fract_y
_atom_site_fract_z
Mn1 Mn 0.000 0.111 0.250
In1 In 0.000 0.213 0.750
Au1 Au 0.136 0.483 0.218
O1 O 0.065 0.213 0.459
O2 O 0.131 0.019 0.757
O3 O 0.144 0.374 0.943